No. 1
Computed, not measured: a relaxed structure of ScRhN2 at the GGA-PBEsol level of DFT. Values from VASP.

The structure in Quantum ESPRESSO input format:
```
&SYSTEM
  ibrav = 0, nat = 8, ntyp = 3
/
ATOMIC_SPECIES
N 14.01 N.upf
Rh 102.91 Rh.upf
Sc 44.96 Sc.upf
CELL_PARAMETERS angstrom
-2.866 2.482 2.437
0.817 -2.589 3.597
4.788 3.092 -1.685
ATOMIC_POSITIONS angstrom
N 3.313 2.373 -0.604
N -1.080 2.039 3.124
N 2.332 2.183 2.602
N 0.912 -0.627 3.576
Rh 2.290 0.224 2.465
Rh 0.000 0.000 0.000
Sc 0.449 2.760 1.885
Sc -1.024 -0.054 3.017
```

Calculated values
Its space group is I-42d, No. 122.

No. 2
Computed, not measured: a relaxed structure of ScRhSeN2 at the GGA-PBEsol level of DFT. Values from VASP.

The structure in Quantum ESPRESSO input format:
```
&SYSTEM
  ibrav = 0, nat = 5, ntyp = 4
/
ATOMIC_SPECIES
Se 78.96 Se.upf
Sc 44.96 Sc.upf
N 14.01 N.upf
Rh 102.91 Rh.upf
CELL_PARAMETERS angstrom
3.953 0.000 0.000
0.000 3.953 0.000
0.000 0.000 5.227
ATOMIC_POSITIONS angstrom
Se 0.000 0.000 2.614
Sc 0.000 0.000 0.000
N 1.976 0.000 0.000
N 0.000 1.976 0.000
Rh 1.976 1.976 2.614
```

Calculated values
Its space group is P4/mmm, No. 123.

No. 3
Computed, not measured: a relaxed structure of ScRhSe2N at the GGA-PBEsol level of DFT. Values from VASP.

The structure in Quantum ESPRESSO input format:
```
&SYSTEM
  ibrav = 0, nat = 5, ntyp = 4
/
ATOMIC_SPECIES
N 14.01 N.upf
Rh 102.91 Rh.upf
Se 78.96 Se.upf
Sc 44.96 Sc.upf
CELL_PARAMETERS angstrom
3.629 0.000 0.000
0.000 4.986 0.000
0.000 0.000 4.986
ATOMIC_POSITIONS angstrom
N 1.815 0.000 0.000
Rh 0.000 0.000 0.000
Se 0.000 0.000 2.493
Se 0.000 2.493 0.000
Sc 1.815 2.493 2.493
```

Calculated values
Its space group is P4/mmm, No. 123.

No. 4
Computed, not measured: a relaxed structure of ScTcRhN2 at the GGA-PBEsol level of DFT. Values from VASP.

The structure in Quantum ESPRESSO input format:
```
&SYSTEM
  ibrav = 0, nat = 5, ntyp = 4
/
ATOMIC_SPECIES
Sc 44.96 Sc.upf
N 14.01 N.upf
Tc 98.00 Tc.upf
Rh 102.91 Rh.upf
CELL_PARAMETERS angstrom
3.781 0.000 0.000
0.000 3.781 0.000
0.000 0.000 5.121
ATOMIC_POSITIONS angstrom
Sc 0.000 0.000 2.561
N 0.000 1.891 0.000
N 1.891 0.000 0.000
Tc 1.891 1.891 2.561
Rh 0.000 0.000 0.000
```

Calculated values
Its space group is P4/mmm, No. 123.

No. 5
Computed, not measured: a relaxed structure of RhWSe2N at the GGA-PBEsol level of DFT. Values from VASP.

The structure in Quantum ESPRESSO input format:
```
&SYSTEM
  ibrav = 0, nat = 5, ntyp = 4
/
ATOMIC_SPECIES
Rh 102.91 Rh.upf
N 14.01 N.upf
Se 78.96 Se.upf
W 183.84 W.upf
CELL_PARAMETERS angstrom
3.540 0.000 0.000
0.000 4.952 0.000
0.000 0.000 4.952
ATOMIC_POSITIONS angstrom
Rh 0.000 0.000 0.000
N 1.770 0.000 0.000
Se 0.000 2.476 0.000
Se 0.000 0.000 2.476
W 1.770 2.476 2.476
```

Calculated values
Its space group is P4/mmm, No. 123.

No. 6
Computed, not measured: a relaxed structure of RhWSeN2 at the GGA-PBEsol level of DFT. Values from VASP.

The structure in Quantum ESPRESSO input format:
```
&SYSTEM
  ibrav = 0, nat = 5, ntyp = 4
/
ATOMIC_SPECIES
N 14.01 N.upf
W 183.84 W.upf
Se 78.96 Se.upf
Rh 102.91 Rh.upf
CELL_PARAMETERS angstrom
-2.890 0.600 -2.344
-1.551 -3.262 1.077
-2.502 2.411 3.702
ATOMIC_POSITIONS angstrom
N -1.445 0.300 -1.172
N -0.775 -1.631 0.538
W -3.471 -0.126 1.217
Se -1.251 1.205 1.851
Rh 0.000 0.000 0.000
```

Calculated values
Its space group is P4/mmm, No. 123. The calculation puts the energy above the most stable polymorph in this dataset at 926 meV per atom.

No. 7
Computed, not measured: a relaxed structure of RhWSeN2 at the GGA-PBEsol level of DFT. Values from VASP.

The structure in Quantum ESPRESSO input format:
```
&SYSTEM
  ibrav = 0, nat = 5, ntyp = 4
/
ATOMIC_SPECIES
Rh 102.91 Rh.upf
N 14.01 N.upf
W 183.84 W.upf
Se 78.96 Se.upf
CELL_PARAMETERS angstrom
-1.084 -3.069 -2.001
3.663 -0.964 -0.505
-0.134 -2.804 4.374
ATOMIC_POSITIONS angstrom
Rh 1.223 -3.418 0.934
N 1.831 -0.482 -0.253
N -0.542 -1.535 -1.000
W 0.000 0.000 0.000
Se -0.067 -1.402 2.187
```

Calculated values
Its space group is P4/mmm, No. 123. The calculation puts the energy above the most stable polymorph in this dataset at 0 meV per atom.

No. 8
Computed, not measured: a relaxed structure of ZrRh2SeN at the GGA-PBEsol level of DFT. Values from VASP.

The structure in Quantum ESPRESSO input format:
```
&SYSTEM
  ibrav = 0, nat = 5, ntyp = 4
/
ATOMIC_SPECIES
Rh 102.91 Rh.upf
Se 78.96 Se.upf
Zr 91.22 Zr.upf
N 14.01 N.upf
CELL_PARAMETERS angstrom
-1.248 -0.811 -3.631
2.469 -3.815 0.003
-3.530 -2.284 1.724
ATOMIC_POSITIONS angstrom
Rh 1.235 -1.907 0.001
Rh -1.765 -1.142 0.862
Se 0.000 0.000 0.000
Zr -1.154 -3.455 -0.952
N -0.624 -0.405 -1.815
```

Calculated values
Its space group is P4/mmm, No. 123.

No. 9
Computed, not measured: a relaxed structure of SiRhN3 at the GGA-PBEsol level of DFT. Values from VASP.

The structure in Quantum ESPRESSO input format:
```
&SYSTEM
  ibrav = 0, nat = 5, ntyp = 3
/
ATOMIC_SPECIES
N 14.01 N.upf
Rh 102.91 Rh.upf
Si 28.09 Si.upf
CELL_PARAMETERS angstrom
3.555 0.000 0.000
0.000 3.555 0.000
0.000 0.000 3.555
ATOMIC_POSITIONS angstrom
N 0.000 0.000 1.777
N 1.777 0.000 0.000
N 0.000 1.777 0.000
Rh 1.777 1.777 1.777
Si 0.000 0.000 0.000
```

Calculated values
Its space group is Pm-3m, No. 221.

No. 10
Computed, not measured: a relaxed structure of Si2RhN at the GGA-PBEsol level of DFT. Values from VASP.

The structure in Quantum ESPRESSO input format:
```
&SYSTEM
  ibrav = 0, nat = 8, ntyp = 3
/
ATOMIC_SPECIES
Rh 102.91 Rh.upf
Si 28.09 Si.upf
N 14.01 N.upf
CELL_PARAMETERS angstrom
-0.983 -4.466 -2.313
4.552 2.201 -0.831
0.598 0.005 5.089
ATOMIC_POSITIONS angstrom
Rh 3.072 -0.581 -0.507
Rh 0.000 0.000 0.000
Si 1.412 -1.724 0.639
Si 1.198 0.117 2.852
Si 1.682 -2.928 -1.971
Si 4.043 0.017 2.371
N 2.575 1.103 2.129
N 1.095 -1.679 2.453
```

Calculated values
Its space group is I-42d, No. 122.

No. 11
Computed, not measured: a relaxed structure of SmRhN3 at the GGA-PBEsol level of DFT. Values from VASP.

The structure in Quantum ESPRESSO input format:
```
&SYSTEM
  ibrav = 0, nat = 10, ntyp = 3
/
ATOMIC_SPECIES
N 14.01 N.upf
Rh 102.91 Rh.upf
Sm 150.36 Sm.upf
CELL_PARAMETERS angstrom
-0.553 -1.637 -2.791
4.754 1.969 -2.097
1.029 -6.488 3.603
ATOMIC_POSITIONS angstrom
N 1.221 -0.799 -1.703
N 2.615 -3.078 -0.642
N 1.658 -6.331 1.456
N 4.009 -5.357 0.419
N 3.572 0.174 -2.740
N 0.238 -4.063 0.406
Rh 2.157 -4.751 0.430
Rh 3.073 -1.406 -1.714
Sm 4.640 -2.673 0.649
Sm 1.143 -1.847 0.857
```

Calculated values
Its space group is Cmmm, No. 65.

No. 12
Computed, not measured: a relaxed structure of Sr3RhN3 at the GGA-PBEsol level of DFT. Values from VASP.

The structure in Quantum ESPRESSO input format:
```
&SYSTEM
  ibrav = 0, nat = 14, ntyp = 3
/
ATOMIC_SPECIES
N 14.01 N.upf
Sr 87.62 Sr.upf
Rh 102.91 Rh.upf
CELL_PARAMETERS angstrom
5.265 0.000 0.000
0.000 7.601 0.000
0.000 -3.800 6.583
ATOMIC_POSITIONS angstrom
N 3.949 3.055 3.919
N 1.316 1.121 5.896
N 1.316 0.745 2.664
N 3.949 5.666 1.977
N 1.316 -1.866 4.605
N 3.949 2.680 0.687
Sr 1.316 5.862 1.777
Sr 3.949 -2.062 4.806
Sr 1.316 3.131 4.188
Sr 3.949 0.669 2.394
Sr 1.316 2.408 0.618
Sr 3.949 1.392 5.965
Rh 3.949 3.800 2.194
Rh 1.316 0.000 4.388
```

Calculated values
Its space group is P6_3/m, No. 176.

No. 13
Computed, not measured: a relaxed structure of Te3RhN at the GGA-PBEsol level of DFT. Values from VASP.

The structure in Quantum ESPRESSO input format:
```
&SYSTEM
  ibrav = 0, nat = 5, ntyp = 3
/
ATOMIC_SPECIES
Te 127.60 Te.upf
N 14.01 N.upf
Rh 102.91 Rh.upf
CELL_PARAMETERS angstrom
5.164 0.000 0.000
0.000 5.164 0.000
0.000 0.000 5.164
ATOMIC_POSITIONS angstrom
Te 0.000 2.582 0.000
Te 2.582 0.000 0.000
Te 0.000 0.000 2.582
N 2.582 2.582 2.582
Rh 0.000 0.000 0.000
```

Calculated values
Its space group is Pm-3m, No. 221.

No. 14
Computed, not measured: a relaxed structure of TiTe2RhN at the GGA-PBEsol level of DFT. Values from VASP.

The structure in Quantum ESPRESSO input format:
```
&SYSTEM
  ibrav = 0, nat = 5, ntyp = 4
/
ATOMIC_SPECIES
Te 127.60 Te.upf
N 14.01 N.upf
Ti 47.87 Ti.upf
Rh 102.91 Rh.upf
CELL_PARAMETERS angstrom
-2.216 -2.470 -1.399
3.438 -3.852 1.356
-2.427 -0.501 4.728
ATOMIC_POSITIONS angstrom
Te -1.213 -0.250 2.364
Te 1.719 -1.926 0.678
N -1.108 -1.235 -0.700
Ti -0.603 -3.411 2.343
Rh 0.000 0.000 0.000
```

Calculated values
Its space group is P4/mmm, No. 123.

Asked for VASP energy across the records above, the calculation gives -68.1 -30.8 -32.3 -36.4 -33.2 -35.1 -39.7 -34.1 -36.3 -60.9 -84.0 -86.6 -20.4 -30.7 eV/cell in order.
Asked for total moment across the records above, the calculation gives 0.0 1.8 0.0 1.8 2.8 2.4 0.0 0.4 0.0 0.0 0.0 0.0 2.5 1.7 μB per formula unit in order.